DFT (PBE-GGA) results for an optimized crystal structure of CsLiSbTe2.

Cell and atoms, written as POSCAR:
```
CsLiSbTe2
1.0
5.5730 0.0000 0.0000
0.0000 5.5730 0.0000
0.0000 0.0000 5.2226
Cs Li Sb Te
1 1 1 2
direct
0.0000 0.0000 0.0000
0.5000 0.5000 0.5000
0.5000 0.5000 0.0000
0.0000 0.5000 0.5000
0.5000 0.0000 0.5000
```

Computed properties:
Space group = P4/mmm, No. 123
ΔE_f (raw) = -0.20 eV per atom
E_tot = -14.19 eV/cell
D(E_F) = 4.52 states/eV/cell
Calculated density = 5.29 g cm⁻³

DFT (PBE-GGA) results for an optimized crystal structure of La3W.

Cell and atoms, written as POSCAR:
```
La3W
1.0
0.0000 3.7826 3.7826
3.7826 0.0000 3.7826
3.7826 3.7826 0.0000
La W
3 1
direct
0.0000 0.0000 0.0000
0.2500 0.2500 0.2500
0.7500 0.7500 0.7500
0.5000 0.5000 0.5000
```

Computed properties:
Space group = Fm-3m, No. 225
E_tot = -25.47 eV/cell
Formation enthalpy at 0 K = 0.567 eV per atom
D(E_F) = 4.73 states/eV/cell
Calculated density = 9.21 g cm⁻³